Entry i
DFT (PBE) results for a relaxed structure of YFe2N.

Properties
SG   Fm-3m
ρ   6635 kg/m3

The structure in POSCAR format:
```
YFe2N
1.0
0.0000 2.9945 2.9945
2.9945 0.0000 2.9945
2.9945 2.9945 0.0000
Y Fe N
1 2 1
Direct
0.0000 0.0000 0.0000
0.2500 0.2500 0.2500
0.7500 0.7500 0.7500
0.5000 0.5000 0.5000
```

***

Entry ii
DFT (PBE) results for a relaxed structure of YFe2N.

Properties
SG   I-42d
ρ   6484 kg/m3

The structure in POSCAR format:
```
YFe2N
1.0
-3.2640 3.2640 2.5792
3.2640 -3.2640 2.5792
3.2640 3.2640 -2.5792
Y Fe N
2 4 2
Direct
0.0000 0.0000 0.0000
0.7500 0.2500 0.5000
0.2832 0.6250 0.1582
0.3750 0.5332 0.6582
0.4668 0.1250 0.8418
0.8750 0.7168 0.3418
0.2500 0.7500 0.5000
0.5000 0.5000 0.0000
```

***

Name the most stable of them. entry ii.

***

Entry i
DFT (PBE) results for a relaxed structure of Y2Fe2N.

Properties
SG   P4/mbm
ρ   5980 kg/m3

The structure in POSCAR format:
```
Y2Fe2N
1.0
6.4661 0.0000 0.0000
0.0000 6.4661 0.0000
0.0000 0.0000 4.0317
Y Fe N
4 4 2
Direct
0.1824 0.3176 0.0000
0.3176 0.8176 0.0000
0.6824 0.1824 0.0000
0.8176 0.6824 0.0000
0.1236 0.6236 0.5000
0.3764 0.1236 0.5000
0.6236 0.8764 0.5000
0.8764 0.3764 0.5000
0.0000 0.0000 0.5000
0.5000 0.5000 0.5000
```

***

Entry ii
DFT (PBE) results for a relaxed structure of Y2Fe2N.

Properties
SG   I4/mmm
ρ   5719 kg/m3

The structure in POSCAR format:
```
Y2Fe2N
1.0
-2.6545 2.6545 3.1265
2.6545 -2.6545 3.1265
2.6545 2.6545 -3.1265
Y Fe N
2 2 1
Direct
0.2500 0.7500 0.5000
0.7500 0.2500 0.5000
0.2192 0.2192 0.0000
0.7808 0.7808 0.0000
0.5000 0.5000 0.0000
```

***

Name the most stable of them. entry ii.

***

Entry i
DFT (PBE) results for a relaxed structure of YFe3N.

Properties
SG   Pm-3m
ρ   4158 kg/m3

The structure in POSCAR format:
```
YFe3N
1.0
4.7621 0.0000 0.0000
0.0000 4.7621 0.0000
0.0000 0.0000 4.7621
Y Fe N
1 3 1
Direct
0.0000 0.0000 0.0000
0.0000 0.0000 0.5000
0.0000 0.5000 0.0000
0.5000 0.0000 0.0000
0.5000 0.5000 0.5000
```

***

Entry ii
DFT (PBE) results for a relaxed structure of YFe3N.

Properties
SG   Pm-3m
ρ   7525 kg/m3

The structure in POSCAR format:
```
YFe3N
1.0
3.9078 0.0000 0.0000
0.0000 3.9078 0.0000
0.0000 0.0000 3.9078
Y Fe N
1 3 1
Direct
0.0000 0.0000 0.0000
0.0000 0.5000 0.5000
0.5000 0.0000 0.5000
0.5000 0.5000 0.0000
0.5000 0.5000 0.5000
```

***

Name the most stable of them. entry ii.

***

Entry i
DFT (PBE) results for a relaxed structure of NaNb2Fe.

Properties
SG   Fm-3m
ρ   6831 kg/m3

The structure in POSCAR format:
```
NaNb2Fe
1.0
0.0000 3.1804 3.1804
3.1804 0.0000 3.1804
3.1804 3.1804 0.0000
Na Nb Fe
1 2 1
Direct
0.0000 0.0000 0.0000
0.2500 0.2500 0.2500
0.7500 0.7500 0.7500
0.5000 0.5000 0.5000
```

***

Entry ii
DFT (PBE) results for a relaxed structure of NaNb2Fe.

Properties
SG   I-42d
ρ   6082 kg/m3

The structure in POSCAR format:
```
NaNb2Fe
1.0
-1.9654 1.9654 9.3530
1.9654 -1.9654 9.3530
1.9654 1.9654 -9.3530
Na Nb Fe
2 4 2
Direct
0.0000 0.0000 0.0000
0.7500 0.2500 0.5000
0.1490 0.6250 0.0240
0.3750 0.3990 0.5240
0.6010 0.1250 0.9760
0.8750 0.8510 0.4760
0.2500 0.7500 0.5000
0.5000 0.5000 0.0000
```

***

Name the most stable of them. entry i.

***

Entry i
DFT (PBE) results for a relaxed structure of NaNb3Fe.

Properties
SG   Pm-3m
ρ   6102 kg/m3

The structure in POSCAR format:
```
NaNb3Fe
1.0
4.5993 0.0000 0.0000
0.0000 4.5993 0.0000
0.0000 0.0000 4.5993
Na Nb Fe
1 3 1
Direct
0.0000 0.0000 0.0000
0.0000 0.0000 0.5000
0.0000 0.5000 0.0000
0.5000 0.0000 0.0000
0.5000 0.5000 0.5000
```

***

Entry ii
DFT (PBE) results for a relaxed structure of NaNb3Fe.

Properties
SG   Pm-3m
ρ   5752 kg/m3

The structure in POSCAR format:
```
NaNb3Fe
1.0
4.6910 0.0000 0.0000
0.0000 4.6910 0.0000
0.0000 0.0000 4.6910
Na Nb Fe
1 3 1
Direct
0.0000 0.0000 0.0000
0.0000 0.5000 0.5000
0.5000 0.0000 0.5000
0.5000 0.5000 0.0000
0.5000 0.5000 0.5000
```

***

Name the most stable of them. entry ii.

***

Entry i
DFT (PBE) results for a relaxed structure of NaFeNi2.

Properties
SG   Fm-3m
ρ   6169 kg/m3

The structure in POSCAR format:
```
NaFeNi2
1.0
0.0000 2.9779 2.9779
2.9779 0.0000 2.9779
2.9779 2.9779 0.0000
Na Fe Ni
1 1 2
Direct
0.0000 0.0000 0.0000
0.5000 0.5000 0.5000
0.2500 0.2500 0.2500
0.7500 0.7500 0.7500
```

***

Entry ii
DFT (PBE) results for a relaxed structure of NaFeNi2.

Properties
SG   I-42d
ρ   5400 kg/m3

The structure in POSCAR format:
```
NaFeNi2
1.0
-3.3861 3.3861 2.6316
3.3861 -3.3861 2.6316
3.3861 3.3861 -2.6316
Na Fe Ni
2 2 4
Direct
0.0000 0.0000 0.0000
0.7500 0.2500 0.5000
0.2500 0.7500 0.5000
0.5000 0.5000 0.0000
0.1691 0.1250 0.5441
0.3750 0.8309 0.9559
0.5809 0.6250 0.4559
0.8750 0.4191 0.0441
```

***

Name the most stable of them. entry i.